# 1
This record from the Alexandria database describes a relaxed ZnMo2P crystal. The functional is GGA-PBE.

Cell: 9.5412 9.5412 9.5412 Å, 157.57 157.57 31.94°
Element x y z (fractional)
Zn1 0.0000 0.0000 0.0000
Zn2 0.7500 0.2500 0.5000
Mo1 0.1206 0.6250 0.9956
Mo2 0.3750 0.3706 0.4956
Mo3 0.6294 0.1250 0.0044
Mo4 0.8750 0.8794 0.5044
P1 0.2500 0.7500 0.5000
P2 0.5000 0.5000 0.0000

Values from the calculation:
The calculation puts the size of the total moment at 0.000 μB/cell. The calculation puts the calculated volume at 63.2 Å³/f.u. The calculation puts the total energy at -54.03 eV/cell. The distance to the lowest polymorph of the same formula comes out at 393 meV per atom. The calculation puts the energy of formation from the pure elements at 1.33 eV/f.u.



# 2
This record from the Alexandria database describes a relaxed K2Pu3ThO12 crystal. The functional is GGA-PBE.

Cell: 7.0528 7.0528 7.0528 Å, 71.27 71.27 71.27°
Element x y z (fractional)
K1 0.1133 0.1133 0.1133
K2 0.8867 0.8867 0.8867
Pu1 0.0000 0.5000 0.5000
Pu2 0.5000 0.0000 0.5000
Pu3 0.5000 0.5000 0.0000
Th1 0.5000 0.5000 0.5000
O1 0.0798 0.6384 0.6384
O2 0.2575 0.2575 0.5942
O3 0.2575 0.5942 0.2575
O4 0.3616 0.3616 0.9202
O5 0.3616 0.9202 0.3616
O6 0.4058 0.7425 0.7425
O7 0.5942 0.2575 0.2575
O8 0.6384 0.0798 0.6384
O9 0.6384 0.6384 0.0798
O10 0.7425 0.4058 0.7425
O11 0.7425 0.7425 0.4058
O12 0.9202 0.3616 0.3616

Values from the calculation:
The calculation puts the size of the total moment at 6.000 μB/cell. The calculation puts the calculated volume at 305.2 Å³/f.u. The calculation puts the total energy at -158.95 eV/cell. Its formation energy from raw total energies is -2.60 eV/atom.